Material: NaTe3Cl
Method: DFT, GGA-PBE
State: relaxed

```
NaTe3Cl
1.0
5.495 0.000 0.000
0.000 5.495 0.000
0.000 0.000 5.495
Na Te Cl
1 3 1
Direct
0.000 0.000 0.000
0.000 0.500 0.500
0.500 0.000 0.500
0.500 0.500 0.000
0.500 0.500 0.500
```

Calculated density (Mg/m³): 4.41
ΔE_f (raw) (eV per atom): 0.23